Record 1
8
Lattice="-7.5837 2.0411 3.9285 -0.3619 -8.0521 3.4850 -1.6308 -1.4939 7.4425" Properties=species:S:1:pos:R:3 comment="Rb2NaO, optimized geometry, DFT PBE" formation_energy_uncorrected_ev_per_atom=-0.42 sg=I-42d pbc="T T T"
O -2.9827 -6.2757 7.3171
O -3.9728 -3.0055 3.7067
Rb -4.1305 -0.3902 4.2013
Rb -4.2534 -4.5024 8.8501
Rb -2.6441 -4.8650 5.0801
Rb -8.1248 -5.2521 11.5805
Na -6.5937 -1.2292 7.5388
Na 0.0000 0.0000 0.0000

Record 2
5
Lattice="5.8407 0.0000 0.0000 0.0000 5.8407 0.0000 0.0000 0.0000 4.5497" Properties=species:S:1:pos:R:3 comment="Rb2NaAgO, optimized geometry, DFT PBE" formation_energy_uncorrected_ev_per_atom=-0.57 sg=P4/mmm pbc="T T T"
O 0.0000 0.0000 0.0000
Ag 2.9204 2.9204 2.2748
Rb 2.9204 0.0000 0.0000
Rb 0.0000 2.9204 0.0000
Na 0.0000 0.0000 2.2748

Record 3
4
Lattice="-1.2758 -2.4215 3.2703 -3.1755 -1.5506 -2.3870 4.6239 -5.7228 -2.4337" Properties=species:S:1:pos:R:3 comment="LaPr2Er, optimized geometry, DFT PBE" ef_ev_per_atom=0.11 sg=P4/mmm pbc="T T T"
Pr 1.0724 -1.3273 -0.5645
Pr 3.5515 -4.3955 -1.8692
La 0.0863 -4.8475 -0.7752
Er -2.2256 -1.9861 0.4417

Record 4
4
Lattice="-6.4874 -1.4992 0.9064 -3.0971 -5.5948 2.0643 4.6408 4.7678 0.9414" Properties=species:S:1:pos:R:3 comment="Sb2AsRh, optimized geometry, DFT PBE" formation_energy_uncorrected_ev_per_atom=-0.01 sg=Immm pbc="T T T"
Sb -0.7282 -0.5390 0.2257
Sb -4.0640 -3.0080 1.2596
As -3.3194 -0.1392 1.6665
Rh -1.6243 -2.1870 2.2455

Record 5
18
Lattice="6.5404 0.0000 0.0000 0.0000 6.5404 0.0000 -3.2702 -3.2702 5.4757" Properties=species:S:1:pos:R:3 comment="PuPa2FeN5, optimized geometry, DFT PBE" formation_energy_uncorrected_ev_per_atom=-1.11 sg=I4/mcm pbc="T T T"
Fe 0.0000 3.2702 2.7379
Fe 3.2702 0.0000 2.7379
Pa 4.3942 1.1240 0.0000
Pa 2.1462 5.4164 0.0000
Pa 5.4164 4.3942 0.0000
Pa 1.1240 2.1462 0.0000
N 0.9943 2.2760 3.9670
N 4.2645 5.5462 1.5087
N 5.5462 2.2760 1.5087
N 0.9943 4.2645 1.5087
N 3.2702 3.2702 0.0000
N 2.2760 -0.9943 3.9670
N 0.0000 0.0000 0.0000
N -0.9943 -2.2760 3.9670
N -2.2760 0.9943 3.9670
N 2.2760 0.9943 1.5087
Pu 3.2702 3.2702 2.7379
Pu 0.0000 0.0000 2.7379

Record 6
5
Lattice="4.1313 0.0000 0.0000 0.0000 4.1313 0.0000 0.0000 0.0000 4.1313" Properties=species:S:1:pos:R:3 comment="Li3NiMo, optimized geometry, DFT PBE" ef_ev_per_atom=1.05 sg=Pm-3m pbc="T T T"
Li 0.0000 0.0000 2.0656
Li 2.0656 0.0000 0.0000
Li 0.0000 2.0656 0.0000
Ni 0.0000 0.0000 0.0000
Mo 2.0656 2.0656 2.0656

Record 7
4
Lattice="-0.2757 -4.5538 1.8123 4.1687 1.6812 -1.9729 0.5738 4.5790 4.9587" Properties=species:S:1:pos:R:3 comment="KNaInAu, optimized geometry, DFT PBE" ef_ev_per_atom=-0.23 sg=Cm pbc="T T T"
K 0.4206 0.4058 2.9359
Na 3.8153 0.8484 4.3532
In 2.4585 -0.7562 0.1669
Au 0.9442 -2.8709 1.2837

Record 8
5
Lattice="3.9373 0.0000 0.0000 0.0000 3.9373 0.0000 0.0000 0.0000 3.9373" Properties=species:S:1:pos:R:3 comment="UMn3B, optimized geometry, DFT PBE" ef_ev_per_atom=-0.16 sg=Pm-3m pbc="T T T"
B 0.0000 0.0000 0.0000
Mn 0.0000 0.0000 1.9686
Mn 1.9686 0.0000 0.0000
Mn 0.0000 1.9686 0.0000
U 1.9686 1.9686 1.9686

Record 9
5
Lattice="4.6343 0.0000 0.0000 0.0000 4.6343 0.0000 0.0000 0.0000 4.6343" Properties=species:S:1:pos:R:3 comment="ScW3Br, optimized geometry, DFT PBE" formation_energy_uncorrected_ev_per_atom=1.75 sg=Pm-3m pbc="T T T"
Br 0.0000 0.0000 0.0000
W 0.0000 0.0000 2.3172
W 0.0000 2.3172 0.0000
W 2.3172 0.0000 0.0000
Sc 2.3172 2.3172 2.3172

Record 10
6
Lattice="-2.4608 -1.8792 -1.1317 1.3601 -6.3101 2.7367 -6.1795 4.6310 5.7076" Properties=species:S:1:pos:R:3 comment="RbHfTl, optimized geometry, DFT PBE" ef_ev_per_atom=0.38 sg=P1 pbc="T T T"
Hf -4.1796 0.7979 4.4231
Hf -5.5614 -1.2263 5.9881
Tl -6.9488 1.9738 3.6796
Tl 0.0918 -2.9713 1.4393
Rb -3.0460 -3.2216 3.8446
Rb -3.0922 -1.0502 0.4702

Record 11
13
Lattice="-1.9064 -3.5208 -3.7356 3.4860 -2.7061 -3.2420 1.0174 -9.2957 4.2285" Properties=species:S:1:pos:R:3 comment="Ga2Ag8Au3, optimized geometry, DFT PBE" ef_ev_per_atom=0.12 sg=R-3m pbc="T T T"
Ga 1.0926 -4.7338 -4.1229
Ga 1.5043 -10.7888 1.3738
Au 1.8485 -10.1823 -3.3869
Au 0.7485 -5.3403 0.6378
Au 0.0000 0.0000 0.0000
Ag 1.9855 -12.1977 -1.5573
Ag 1.1304 -8.1254 1.0623
Ag 0.1766 -9.8869 -0.8067
Ag 0.6114 -3.3248 -1.1919
Ag 2.4203 -5.6357 -1.9425
Ag -0.2775 -6.0433 -2.1895
Ag 1.4665 -7.3972 -3.8115
Ag 2.8745 -9.4793 -0.5597

Record 12
8
Lattice="3.3419 0.0000 0.0000 0.0000 5.3169 0.0017 0.0000 -1.9478 5.6142" Properties=species:S:1:pos:R:3 comment="Na2DyIrO4, optimized geometry, DFT PBE" formation_energy_uncorrected_ev_per_atom=-1.85 sg=P2/m pbc="T T T"
Ir 0.0000 0.0000 0.0000
O 0.0000 -0.1829 4.3574
O 0.0000 3.5519 1.2585
O 1.6710 2.6823 4.4551
O 1.6710 0.6868 1.1609
Na 1.6710 -0.9739 2.8071
Na 0.0000 1.6845 2.8080
Dy 1.6710 2.6584 0.0009

Record 13
4
Lattice="7.0621 0.0224 0.0607 -3.0022 4.6045 -0.0277 1.0578 1.1046 2.9988" Properties=species:S:1:pos:R:3 comment="ZrScPb2, optimized geometry, DFT PBE" ef_ev_per_atom=-0.21 sg=C2/m pbc="T T T"
Sc -0.9722 2.8546 1.4856
Pb 0.0000 0.0000 0.0000
Pb 4.0599 0.5635 1.5298
Zr 2.0299 2.3134 0.0165

Record 14
4
Lattice="-0.7311 2.5591 -0.7486 -3.8916 -1.4273 -1.0789 0.5336 1.4514 4.4409" Properties=species:S:1:pos:R:3 comment="LiHPd2, optimized geometry, DFT PBE" sg=P2/m pbc="T T T"
H -1.0716 1.6485 1.5765
Pd -1.1620 0.5981 3.1795
Pd -0.2501 0.1397 0.7219
Li -3.0174 0.9349 1.0370

Number 1: total DFT energy (no corrections) -2.48 eV per atom. Number 2: total DFT energy (no corrections) -2.78 eV per atom. Number 3: total DFT energy (no corrections) -4.65 eV per atom. Number 4: total DFT energy (no corrections) -5.07 eV per atom. Number 5: total DFT energy (no corrections) -10.38 eV per atom. Number 6: total DFT energy (no corrections) -3.42 eV per atom. Number 7: total DFT energy (no corrections) -2.34 eV per atom. Number 8: total DFT energy (no corrections) -9.25 eV per atom. Number 9: total DFT energy (no corrections) -7.63 eV per atom. Number 10: total DFT energy (no corrections) -4.05 eV per atom. Number 11: total DFT energy (no corrections) -2.86 eV per atom. Number 12: total DFT energy (no corrections) -6.35 eV per atom. Number 13: total DFT energy (no corrections) -5.79 eV per atom. Number 14: total DFT energy (no corrections) -4.11 eV per atom.